AlCuMo, relaxed, DFT PBE; crystal system = cubic; E_tot = -5.6798 eV/atom
1.0
0.000 2.888 2.888
2.888 0.000 2.888
2.888 2.888 0.000
Al Cu Mo
1 1 1
Direct
0.000 0.000 0.000
0.250 0.250 0.250
0.500 0.500 0.500